Computed, not measured: an optimized crystal structure of Y8GeSb5 at the GGA-PBE level of DFT.

Cell: 7.934 7.934 7.934 Å, 109.82 108.78 109.82°
Positions (direct):
Y: 0.777 0.254 0.381
Y: 0.477 0.605 0.223
Sb: 0.992 0.369 0.120
Sb: 0.752 0.631 0.623
Sb: 0.500 0.000 0.500
Y: 0.269 0.263 0.389
Y: 0.993 0.120 0.731
Ge: 0.250 0.500 0.750
Y: 0.611 0.880 0.873
Y: 0.127 0.737 0.007
Y: 0.128 0.746 0.523
Y: 0.619 0.395 0.872
Sb: 0.377 0.128 0.008
Sb: 0.880 0.872 0.248

## Properties
Formation energy without anion corrections in eV per atom: -1.000
VASP energy in eV per atom: -6.496



Computed, not measured: an optimized crystal structure of TiTlHgF6 at the GGA-PBE level of DFT.

Cell: 6.397 6.397 9.811 Å, 90.00 90.00 120.00°
Last column: magnetic moment on the atom in μB.
Positions (direct):
F: 0.423 0.336 0.360  0.03
F: 0.423 0.087 0.140  0.03
F: 0.913 0.577 0.360  0.03
Tl: 0.000 0.000 0.000  0.01
F: 0.087 0.664 0.860  0.03
Hg: 0.333 0.667 0.250  0.50
F: 0.336 0.423 0.860  0.03
F: 0.087 0.423 0.640  0.03
Hg: 0.667 0.333 0.750  0.50
F: 0.664 0.577 0.140  0.03
Tl: 0.000 0.000 0.500  0.01
F: 0.336 0.913 0.640  0.03
Ti: 0.333 0.667 0.750  0.06
F: 0.577 0.664 0.640  0.03
F: 0.664 0.087 0.360  0.03
F: 0.913 0.336 0.140  0.03
Ti: 0.667 0.333 0.250  0.06
F: 0.577 0.913 0.860  0.03

## Properties
Formation energy without anion corrections in eV per atom: -2.497
VASP energy in eV per atom: -4.918



Computed, not measured: an optimized crystal structure of Zn4OsPt at the GGA-PBE level of DFT.

Cell: 4.911 4.911 4.911 Å, 60.00 60.00 60.00°
Positions (direct):
Zn: 0.375 0.375 0.375
Os: 0.750 0.750 0.750
Zn: 0.375 0.375 0.874
Pt: 0.000 0.000 0.000
Zn: 0.375 0.874 0.375
Zn: 0.874 0.375 0.375

## Properties
VASP energy in eV per atom: -3.588
Formation energy from the elements in meV per atom: 140



Computed, not measured: an optimized crystal structure of BaMnV2Mo at the GGA-PBE level of DFT.

Cell: 4.715 4.528 4.715 Å, 90.00 90.00 90.00°
Positions (direct):
Mn: 0.000 0.500 0.000
Mo: 0.500 0.500 0.500
Ba: 0.000 0.000 0.000
V: 0.500 0.000 0.000
V: 0.000 0.000 0.500

## Properties
Offset from the most stable computed form in eV per atom: 0.000
VASP energy in eV per atom: -5.205
Formation energy from the elements in meV per atom: 2828



Computed, not measured: an optimized crystal structure of LiAgSb2Te at the GGA-PBE level of DFT.

Cell: 5.369 5.369 5.684 Å, 90.00 90.00 90.00°
Positions (direct):
Ag: 0.000 0.000 0.000
Te: 0.000 0.000 0.500
Sb: 0.000 0.500 0.000
Sb: 0.500 0.000 0.000
Li: 0.500 0.500 0.500

## Properties
Formation energy without anion corrections in eV per atom: 0.375
Offset from the most stable computed form in eV per atom: 0.009
VASP energy in eV per atom: -2.855



Computed, not measured: an optimized crystal structure of BiSb2 at the GGA-PBE level of DFT.

Cell: 6.333 6.333 6.333 Å, 60.00 60.00 60.00°
Positions (direct):
Sb: 0.625 0.125 0.625
Bi: 0.000 0.000 0.000
Bi: 0.250 0.250 0.250
Sb: 0.625 0.625 0.625
Sb: 0.125 0.625 0.625
Sb: 0.625 0.625 0.125

## Properties
Formation energy without anion corrections in eV per atom: 0.379
Offset from the most stable computed form in eV per atom: 0.247
VASP energy in eV per atom: -3.663